1.
This record from the Alexandria database describes a relaxed structure of Na5Hg2Pb5. The functional is PBE.

Cell: 4.760 10.410 7.528 Å, 74.83 71.57 76.78°
Fractional coordinates of all 12 atoms:
Na 0.500 0.500 0.500
Na 0.404 0.267 0.924
Na 0.338 0.998 0.326
Na 0.662 0.002 0.674
Na 0.596 0.733 0.076
Hg 0.839 0.495 0.828
Hg 0.161 0.505 0.172
Pb 0.914 0.755 0.417
Pb 0.258 0.744 0.740
Pb 0.742 0.256 0.260
Pb 0.086 0.245 0.583
Pb 0.000 0.000 0.000

Results
space-group type	No. 12
calculated formation energy	-0.134	eV per atom
total magnetization	0.00	μB/f.u.

2.
This record from the Alexandria database describes a relaxed structure of PdAuS. The functional is PBE.

Cell: 4.905 5.498 7.686 Å, 90.00 90.00 90.00°
Fractional coordinates of all 12 atoms:
Pd 0.076 0.969 0.190
Pd 0.576 0.031 0.810
Pd 0.076 0.469 0.810
Pd 0.576 0.531 0.190
Au 0.077 0.884 0.555
Au 0.577 0.116 0.445
Au 0.077 0.384 0.445
Au 0.577 0.616 0.555
S 0.076 0.529 0.136
S 0.576 0.471 0.864
S 0.076 0.029 0.864
S 0.576 0.971 0.136

Results
space-group type	No. 57
formation energy from raw total energies	-3	meV per atom
total magnetization	0.00	μB/f.u.

3.
This record from the Alexandria database describes a relaxed structure of CaCd2Br. The functional is PBE.

Cell: 5.850 5.850 3.942 Å, 90.00 90.00 120.07°
Fractional coordinates of all 4 atoms:
Ca 0.000 0.500 0.500
Br 0.500 0.000 0.500
Cd 0.000 0.000 0.000
Cd 0.500 0.500 0.000

Results
space-group type	No. 65
formation energy from raw total energies	-520	meV per atom
total magnetization	0.00	μB/f.u.

4.
This record from the Alexandria database describes a relaxed structure of Ti12SnSb3. The functional is PBE.

Cell: 5.215 5.211 10.455 Å, 90.00 90.00 90.00°
Fractional coordinates of all 16 atoms:
Ti 0.500 0.000 0.377
Ti 0.500 0.000 0.874
Ti 0.749 0.500 0.000
Ti 0.749 0.500 0.500
Ti 0.000 0.751 0.249
Ti 0.000 0.751 0.751
Ti 0.500 0.000 0.126
Ti 0.500 0.000 0.623
Ti 0.251 0.500 0.000
Ti 0.251 0.500 0.500
Ti 0.000 0.249 0.249
Ti 0.000 0.249 0.751
Sn 0.000 0.000 0.500
Sb 0.500 0.500 0.250
Sb 0.500 0.500 0.750
Sb 0.000 0.000 0.000

Results
space-group type	No. 47
formation energy from raw total energies	-359	meV per atom
total magnetization	0.00	μB/f.u.

5.
This record from the Alexandria database describes a relaxed structure of GeSbPCl2. The functional is PBE.

Cell: 5.145 5.145 5.353 Å, 90.00 90.00 90.00°
Site moments in Bohr magnetons follow the coordinates.
Fractional coordinates of all 5 atoms:
Sb 0.000 0.000 0.000  0.00
Ge 0.500 0.500 0.500  0.13
P 0.000 0.000 0.500  -0.03
Cl 0.000 0.500 0.000  0.00
Cl 0.500 0.000 0.000  0.00

Results
space-group type	No. 123
formation energy from raw total energies	357	meV per atom
total magnetization	0.25	μB/f.u.

6.
This record from the Alexandria database describes a relaxed structure of Tl2SeCl6. The functional is PBE.

Cell: 6.391 7.085 7.085 Å, 60.09 88.80 88.80°
Fractional coordinates of all 9 atoms:
Tl 0.821 0.669 0.669
Tl 0.179 0.331 0.331
Se 0.000 0.000 0.000
Cl 0.216 0.323 0.836
Cl 0.219 0.835 0.835
Cl 0.216 0.836 0.323
Cl 0.784 0.677 0.164
Cl 0.781 0.165 0.165
Cl 0.784 0.164 0.677

Results
space-group type	No. 12
formation energy from raw total energies	-656	meV per atom
total magnetization	0.00	μB/f.u.

Copy entry 6 word for word.
This record from the Alexandria database describes a relaxed structure of Tl2SeCl6. The functional is PBE.

Cell: 6.391 7.085 7.085 Å, 60.09 88.80 88.80°
Fractional coordinates of all 9 atoms:
Tl 0.821 0.669 0.669
Tl 0.179 0.331 0.331
Se 0.000 0.000 0.000
Cl 0.216 0.323 0.836
Cl 0.219 0.835 0.835
Cl 0.216 0.836 0.323
Cl 0.784 0.677 0.164
Cl 0.781 0.165 0.165
Cl 0.784 0.164 0.677

Results
space-group type	No. 12
formation energy from raw total energies	-656	meV per atom
total magnetization	0.00	μB/f.u.